Here is Sr2Mn3Sb2O2 after structural relaxation from the Alexandria database. Energies are from GGA-PBEsol.

Its calculated volume is 316.5 Å³ per cell. The value obtained for the calculated total energy is -6.93 eV/atom.

The structure belongs to space group I4/mmm (No. 139); the cell edges are 4.0153, 4.0153 and 19.6337 Å and the angles 90.00°, 90.00° and 90.00°. The inequivalent atoms are Sr at (0.0000, 0.0000, 0.0845), Mn at (0.0000, 0.0000, 0.5000), Mn at (0.0000, 0.5000, 0.2500), Sb at (0.0000, 0.0000, 0.3315) and O at (0.0000, 0.5000, 0.0000).